Record 1
The following is a PBE calculation of an optimized crystal structure of DyMnCoP2, from Alexandria.

Geometry as CIF:
```
data_DyMnCoP2
_chemical_formula_sum 'Dy2 Mn2 Co2 P4'
_symmetry_space_group_name_H-M 'I -4 m 2'
_symmetry_Int_Tables_number 119
_symmetry_space_group_name_Hall 'I -4 -2'
_cell_length_a 3.833
_cell_length_b 3.833
_cell_length_c 9.569
_cell_angle_alpha 90.00
_cell_angle_beta 90.00
_cell_angle_gamma 90.00
loop_
_atom_site_label
_atom_site_type_symbol
_atom_site_fract_x
_atom_site_fract_y
_atom_site_fract_z
Dy1 Dy 0.000 0.000 0.000
Mn1 Mn 0.000 0.500 0.750
Co1 Co 0.000 0.500 0.250
P1 P 0.000 0.000 0.368
```

Calculated values
Energy of formation from the pure elements (eV/atom): -1.0008
E_tot (eV per cell): -73.40
Size of the total moment (μB per formula unit): 0.00

Record 2
The following is a PBE calculation of an optimized crystal structure of PrAs2Rh5Pb, from Alexandria.

Geometry as CIF:
```
data_PrAs2Rh5Pb
_chemical_formula_sum 'Pr1 As2 Rh5 Pb1'
_symmetry_space_group_name_H-M 'P 4/m m m'
_symmetry_Int_Tables_number 123
_symmetry_space_group_name_Hall '-P 4 2'
_cell_length_a 4.136
_cell_length_b 4.136
_cell_length_c 10.775
_cell_angle_alpha 90.00
_cell_angle_beta 90.00
_cell_angle_gamma 90.00
loop_
_atom_site_label
_atom_site_type_symbol
_atom_site_fract_x
_atom_site_fract_y
_atom_site_fract_z
Pr1 Pr 0.000 0.000 0.000
As1 As 0.500 0.500 0.220
Rh1 Rh 0.000 0.500 0.330
Rh2 Rh 0.500 0.500 0.000
Pb1 Pb 0.000 0.000 0.500
```

Calculated values
Energy of formation from the pure elements (eV/atom): -0.3952
E_tot (eV per cell): -58.10
Size of the total moment (μB per formula unit): 0.00

Record 3
The following is a PBE calculation of an optimized crystal structure of TcTeRh, from Alexandria.

Geometry as CIF:
```
data_TcTeRh
_chemical_formula_sum 'Tc1 Te1 Rh1'
_symmetry_space_group_name_H-M 'P 3 m 1'
_symmetry_Int_Tables_number 156
_symmetry_space_group_name_Hall 'P 3 -2"'
_cell_length_a 4.3425
_cell_length_b 4.3425
_cell_length_c 3.1626
_cell_angle_alpha 90.00
_cell_angle_beta 90.00
_cell_angle_gamma 120.00
loop_
_atom_site_label
_atom_site_type_symbol
_atom_site_fract_x
_atom_site_fract_y
_atom_site_fract_z
Tc1 Tc 0.0000 0.0000 0.0000
Te1 Te 0.6667 0.3333 0.2625
Rh1 Rh 0.3333 0.6667 0.5177
```

Calculated values
Formation energy from raw total energies (meV/atom): 311
E_tot (eV per cell): -19.93
Size of the total moment (μB per formula unit): 0.00

Record 4
The following is a PBE calculation of an optimized crystal structure of EuSnAu2, from Alexandria.

Geometry as CIF:
```
data_EuSnAu2
_chemical_formula_sum 'Eu1 Sn1 Au2'
_symmetry_space_group_name_H-M 'P 4/m m m'
_symmetry_Int_Tables_number 123
_symmetry_space_group_name_Hall '-P 4 2'
_cell_length_a 4.848
_cell_length_b 4.848
_cell_length_c 4.023
_cell_angle_alpha 90.00
_cell_angle_beta 90.00
_cell_angle_gamma 90.00
loop_
_atom_site_label
_atom_site_type_symbol
_atom_site_fract_x
_atom_site_fract_y
_atom_site_fract_z
Eu1 Eu 0.000 0.000 0.000
Sn1 Sn 0.500 0.500 0.000
Au1 Au 0.000 0.500 0.500
```

Calculated values
Energy of formation from the pure elements (eV/atom): -0.5135
E_tot (eV per cell): -22.89
Size of the total moment (μB per formula unit): 7.10